1.
Compound: YMo2W
Source: Alexandria via LeMat-Bulk
Functional: PBE
Structure: relaxed

The structure in POSCAR format:
```
YMo2W
1.0
5.4569 0.0071 0.0056
4.4810 3.1142 0.0056
2.1972 0.6901 4.3460
Y Mo W
1 2 1
Direct
0.2500 0.2500 0.2500 Y
0.0186 0.0186 0.9800 Mo
0.4814 0.4814 0.5200 Mo
0.7500 0.7500 0.7500 W
```

Results
Energy of formation in meV/atom: 410.5
Energy above the most stable polymorph in this dataset in meV per atom: 142.0
DOS at the Fermi energy in states/eV/atom: 1.076
Electronic total energy in eV per atom: -9.859


2.
Compound: LaNd3Ga2
Source: Alexandria via LeMat-Bulk
Functional: PBE
Structure: relaxed

The structure in POSCAR format:
```
LaNd3Ga2
1.0
-0.0182 2.0301 4.2569
-9.8400 0.5191 -2.9022
3.8389 -7.5193 3.6024
La Ga Nd
2 4 6
Direct
0.1182 0.2364 0.0895 La
0.8818 0.7636 0.9105 La
0.7709 0.5419 0.2475 Ga
0.5005 0.0011 0.8578 Ga
0.4995 0.9989 0.1422 Ga
0.2291 0.4581 0.7525 Ga
0.9511 0.9023 0.5916 Nd
0.3523 0.7046 0.1820 Nd
0.3195 0.6391 0.5739 Nd
0.6805 0.3609 0.4261 Nd
0.6477 0.2954 0.8180 Nd
0.0489 0.0977 0.4084 Nd
```

Results
Energy of formation in meV/atom: -345.2
Energy above the most stable polymorph in this dataset in meV per atom: 45.0
DOS at the Fermi energy in states/eV/atom: 1.018
Electronic total energy in eV per atom: -4.559


3.
Compound: LiCaW2
Source: Alexandria via LeMat-Bulk
Functional: PBE
Structure: relaxed

The structure in POSCAR format:
```
LiCaW2
1.0
5.9391 0.0077 -0.0029
-3.4875 4.8073 -0.0029
0.4615 0.9064 2.5553
Li W Ca
1 2 1
Direct
0.0000 0.5000 0.5000 Li
0.5000 0.5000 0.0000 W
0.0000 0.0000 0.0000 W
0.5000 0.0000 0.5000 Ca
```

Results
Energy of formation in meV/atom: 723.4
Energy above the most stable polymorph in this dataset in meV per atom: 205.6
DOS at the Fermi energy in states/eV/atom: 0.887
Electronic total energy in eV per atom: -6.732


4.
Compound: SiIr2Au
Source: Alexandria via LeMat-Bulk
Functional: PBE
Structure: relaxed

The structure in POSCAR format:
```
SiIr2Au
1.0
3.8854 0.0000 0.0000
0.0000 2.9576 0.0068
0.0000 1.5325 5.2913
Au Ir Si
1 2 1
Direct
0.5000 0.7500 0.7500 Au
0.0000 0.1115 0.0272 Ir
0.0000 0.3885 0.4728 Ir
0.5000 0.2500 0.2500 Si
```

Results
DOS at the Fermi energy in states/eV/atom: 0.593
Formation energy without anion corrections in eV/f.u.: -0.29
Electronic total energy in eV per atom: -6.678


5.
Compound: PmPaSi
Source: Alexandria via LeMat-Bulk
Functional: PBE
Structure: relaxed

The structure in POSCAR format:
```
PmPaSi
1.0
-3.6325 -0.2598 -0.3710
-0.0113 -3.8877 2.8329
-0.5098 4.3793 1.9238
Pa Si Pm
1 1 1
Direct
0.2794 0.6667 0.3333 Pa
0.0101 0.0000 0.0000 Si
0.7105 0.3333 0.6667 Pm
```

Results
Energy above the most stable polymorph in this dataset in meV per atom: 563.2
DOS at the Fermi energy in states/eV/atom: 1.742
Formation energy without anion corrections in eV/f.u.: 0.33
Electronic total energy in eV per atom: -6.446


6.
Compound: PPtPb2
Source: Alexandria via LeMat-Bulk
Functional: PBE
Structure: relaxed

The structure in POSCAR format:
```
PPtPb2
1.0
0.8299 -5.4066 2.2591
-4.4573 -2.6751 2.8284
0.9083 2.8254 -5.1201
Pb P Pt
2 1 1
Direct
0.2500 0.7500 0.5000 Pb
0.0000 0.0000 0.0000 Pb
0.7500 0.2500 0.5000 P
0.5000 0.5000 0.0000 Pt
```

Results
Energy of formation in meV/atom: 307.0
DOS at the Fermi energy in states/eV/atom: 0.541
Electronic total energy in eV per atom: -4.410


7.
Compound: Ga2Cu2W
Source: Alexandria via LeMat-Bulk
Functional: PBE
Structure: relaxed

The structure in POSCAR format:
```
Ga2Cu2W
1.0
7.1224 0.0000 0.0000
0.0000 7.1224 0.0000
0.0000 0.0000 2.7562
Cu Ga W
4 4 2
Direct
0.3791 0.8791 0.0000 Cu
0.6209 0.1209 0.0000 Cu
0.8791 0.6209 0.0000 Cu
0.1209 0.3791 0.0000 Cu
0.3227 0.1773 0.5000 Ga
0.6773 0.8227 0.5000 Ga
0.8227 0.3227 0.5000 Ga
0.1773 0.6773 0.5000 Ga
0.0000 0.0000 0.0000 W
0.5000 0.5000 0.0000 W
```

Results
Energy of formation in meV/atom: 188.9
Energy above the most stable polymorph in this dataset in meV per atom: 35.9
DOS at the Fermi energy in states/eV/atom: 0.579
Electronic total energy in eV per atom: -5.251


8.
Compound: BaFePH2
Source: Alexandria via LeMat-Bulk
Functional: PBE
Structure: relaxed

The structure in POSCAR format:
```
BaFePH2
1.0
-2.3951 -0.0531 3.4649
-2.2162 -3.3797 -1.5837
2.7172 -2.6429 1.8377
H Fe Ba P
2 1 1 1
Direct
0.0000 0.0000 0.5000 H
0.5000 0.0000 0.0000 H
0.0000 0.5000 0.0000 Fe
0.5000 0.5000 0.5000 Ba
0.0000 0.0000 0.0000 P
```

Results
DOS at the Fermi energy in states/eV/atom: 0.675
Electronic total energy in eV per atom: -4.211


9.
Compound: CaCeAl4
Source: Alexandria via LeMat-Bulk
Functional: PBE
Structure: relaxed

The structure in POSCAR format:
```
CaCeAl4
1.0
-3.6483 -3.5525 -2.4340
1.8047 -4.9498 -2.0241
-1.4259 -4.8014 2.6015
Ca Ce Al
1 1 4
Direct
0.2500 0.2500 0.2500 Ca
0.0000 0.0000 0.0000 Ce
0.6257 0.1230 0.6257 Al
0.6257 0.6257 0.1230 Al
0.6257 0.6257 0.6257 Al
0.1230 0.6257 0.6257 Al
```

Results
Energy of formation in meV/atom: -356.7
DOS at the Fermi energy in states/eV/atom: 1.478
Electronic total energy in eV per atom: -4.174


10.
Compound: HoEr2Zn3
Source: Alexandria via LeMat-Bulk
Functional: PBE
Structure: relaxed

The structure in POSCAR format:
```
HoEr2Zn3
1.0
-3.4381 0.8089 -0.3224
-0.6966 -1.7672 2.9951
1.5639 8.8799 5.6030
Zn Er Ho
3 2 1
Direct
0.0000 0.0000 0.0000 Zn
0.0000 0.0000 0.3320 Zn
0.0000 0.0000 0.6680 Zn
0.5000 0.5000 0.8337 Er
0.5000 0.5000 0.1663 Er
0.5000 0.5000 0.5000 Ho
```

Results
Energy of formation in meV/atom: -346.5
DOS at the Fermi energy in states/eV/atom: 1.077
Electronic total energy in eV per atom: -3.267


11.
Compound: Hf3ScSb6
Source: Alexandria via LeMat-Bulk
Functional: PBE
Structure: relaxed

The structure in POSCAR format:
```
Hf3ScSb6
1.0
-2.7370 -1.9873 -2.0487
4.0203 -9.8557 4.1891
-8.8504 4.7398 7.2260
Hf Sb Sc
6 12 2
Direct
0.7500 0.4153 0.8586 Hf
0.2500 0.5847 0.1414 Hf
0.2500 0.8717 0.9685 Hf
0.7500 0.6681 0.5257 Hf
0.7500 0.1283 0.0315 Hf
0.2500 0.3319 0.4743 Hf
0.2500 0.8610 0.5368 Sb
0.2500 0.5076 0.3500 Sb
0.7500 0.7440 0.3052 Sb
0.7500 0.3907 0.0834 Sb
0.2500 0.2560 0.6948 Sb
0.7500 0.1390 0.4632 Sb
0.2500 0.0667 0.8549 Sb
0.7500 0.7986 0.7797 Sb
0.7500 0.9333 0.1451 Sb
0.2500 0.6093 0.9166 Sb
0.2500 0.2014 0.2203 Sb
0.7500 0.4924 0.6500 Sb
0.7500 0.0519 0.6764 Sc
0.2500 0.9481 0.3236 Sc
```

Results
DOS at the Fermi energy in states/eV/atom: 0.506
Formation energy without anion corrections in eV/f.u.: -3.51
Electronic total energy in eV per atom: -6.444


12.
Compound: Rb2AcThSe4
Source: Alexandria via LeMat-Bulk
Functional: PBE
Structure: relaxed

The structure in POSCAR format:
```
Rb2AcThSe4
1.0
-1.7900 -3.3432 2.2952
-1.0191 -3.9557 -6.5566
7.6517 -2.0199 3.0251
Th Se Ac Rb
1 4 1 2
Direct
0.5000 0.5000 0.0000 Th
0.5000 0.7472 0.7901 Se
0.5000 0.2528 0.2099 Se
0.0000 0.2794 0.7963 Se
0.0000 0.7206 0.2037 Se
0.0000 0.0000 0.0000 Ac
0.5000 0.0000 0.5000 Rb
0.0000 0.5000 0.5000 Rb
```

Results
DOS at the Fermi energy in states/eV/atom: 0.575
Formation energy without anion corrections in eV/f.u.: -13.12
Electronic total energy in eV per atom: -5.065


13.
Compound: Ac3ErGe6
Source: Alexandria via LeMat-Bulk
Functional: PBE
Structure: relaxed

The structure in POSCAR format:
```
Ac3ErGe6
1.0
8.1145 -0.1086 -1.0900
-1.2318 8.0212 -1.0900
-0.0945 -0.1086 8.1869
Er Ac Ge
2 6 12
Direct
0.0000 0.0000 0.0000 Er
0.5000 0.5000 0.5000 Er
0.6838 0.8162 0.2500 Ac
0.8162 0.2500 0.6838 Ac
0.1838 0.7500 0.3162 Ac
0.7500 0.3162 0.1838 Ac
0.2500 0.6838 0.8162 Ac
0.3162 0.1838 0.7500 Ac
0.6222 0.9824 0.9088 Ge
0.0912 0.3778 0.0176 Ge
0.1222 0.4088 0.4824 Ge
0.8778 0.5912 0.5176 Ge
0.4824 0.1222 0.4088 Ge
0.3778 0.0176 0.0912 Ge
0.5912 0.5176 0.8778 Ge
0.9088 0.6222 0.9824 Ge
0.5176 0.8778 0.5912 Ge
0.4088 0.4824 0.1222 Ge
0.0176 0.0912 0.3778 Ge
0.9824 0.9088 0.6222 Ge
```

Results
Energy of formation in meV/atom: -615.8
DOS at the Fermi energy in states/eV/atom: 0.698
Electronic total energy in eV per atom: -5.075


14.
Compound: NaIn3
Source: Alexandria via LeMat-Bulk
Functional: PBE
Structure: relaxed

The structure in POSCAR format:
```
NaIn3
1.0
-3.9291 -0.4444 3.2350
2.6504 -5.5770 -1.5811
4.7445 0.5978 5.8447
In Na
6 2
Direct
0.2990 0.5981 0.2500 In
0.8753 0.7507 0.0458 In
0.1247 0.2493 0.9542 In
0.1247 0.2493 0.5458 In
0.8753 0.7507 0.4542 In
0.7010 0.4019 0.7500 In
0.4156 0.8312 0.7500 Na
0.5844 0.1688 0.2500 Na
```

Results
Energy of formation in meV/atom: -89.7
DOS at the Fermi energy in states/eV/atom: 0.297
Electronic total energy in eV per atom: -2.473


15.
Compound: PaO2
Source: Alexandria via LeMat-Bulk
Functional: PBE
Structure: relaxed

The structure in POSCAR format:
```
PaO2
1.0
-3.4058 1.7513 0.4729
-2.4986 -1.3178 2.6288
-0.6910 2.0433 3.1996
Pa O
1 2
Direct
0.5000 0.5000 0.5000 Pa
0.7500 0.7500 0.7500 O
0.2500 0.2500 0.2500 O
```

Results
DOS at the Fermi energy in states/eV/atom: 1.043
Formation energy without anion corrections in eV/f.u.: -10.72
Electronic total energy in eV per atom: -10.043


16.
Compound: Nb2Te2Br
Source: Alexandria via LeMat-Bulk
Functional: PBE
Structure: relaxed

The structure in POSCAR format:
```
Nb2Te2Br
1.0
-4.8352 -3.8480 5.3939
6.1474 -0.1140 5.4293
-1.0771 3.1558 1.2858
Nb Br Te
4 2 4
Direct
0.6153 0.1153 0.0000 Nb
0.8847 0.6153 0.0000 Nb
0.1153 0.3847 0.0000 Nb
0.3847 0.8847 0.0000 Nb
0.0000 0.0000 0.0000 Br
0.5000 0.5000 0.0000 Br
0.1530 0.6530 0.5000 Te
0.8470 0.3470 0.5000 Te
0.3470 0.1530 0.5000 Te
0.6530 0.8470 0.5000 Te
```

Results
Energy above the most stable polymorph in this dataset in meV per atom: 68.1
DOS at the Fermi energy in states/eV/atom: 0.914
Formation energy without anion corrections in eV/f.u.: -0.41
Electronic total energy in eV per atom: -5.702


17.
Compound: ErHfInAu
Source: Alexandria via LeMat-Bulk
Functional: PBE
Structure: relaxed

The structure in POSCAR format:
```
ErHfInAu
1.0
5.0319 0.0000 0.0000
2.5159 4.3577 0.0000
2.5159 1.4526 4.1085
In Er Hf Au
1 1 1 1
Direct
0.5000 0.5000 0.5000 In
0.7500 0.7500 0.7500 Er
0.2500 0.2500 0.2500 Hf
0.0000 0.0000 0.0000 Au
```

Results
Energy of formation in meV/atom: -346.9
DOS at the Fermi energy in states/eV/atom: 0.585
Electronic total energy in eV per atom: -5.480


18.
Compound: Nd3UO7
Source: Alexandria via LeMat-Bulk
Functional: PBE
Structure: relaxed

The structure in POSCAR format:
```
Nd3UO7
1.0
6.7962 0.0251 0.0000
-2.3302 6.3843 0.0000
0.0000 0.0000 7.9527
Nd O U
6 14 2
Direct
0.0024 0.5321 0.7499 Nd
0.9976 0.4679 0.2499 Nd
0.4997 0.4997 0.5000 Nd
0.5003 0.5003 0.0000 Nd
0.5321 0.0024 0.2501 Nd
0.4679 0.9976 0.7501 Nd
0.0855 0.9145 0.7500 O
0.6716 0.9185 0.5288 O
0.3687 0.6313 0.2500 O
0.6714 0.9181 0.9714 O
0.6335 0.3665 0.2500 O
0.9185 0.6716 0.4712 O
0.0815 0.3284 0.9712 O
0.3284 0.0815 0.0288 O
0.9181 0.6714 0.0286 O
0.9145 0.0855 0.2500 O
0.0819 0.3286 0.5286 O
0.3665 0.6335 0.7500 O
0.3286 0.0819 0.4714 O
0.6313 0.3687 0.7500 O
0.0000 0.0000 0.5000 U
0.0000 0.0000 0.0000 U
```

Results
Formation energy without anion corrections in eV/f.u.: -37.53
Electronic total energy in eV per atom: -8.893


19.
Compound: Nd3Sm8Er3
Source: Alexandria via LeMat-Bulk
Functional: PBE
Structure: relaxed

The structure in POSCAR format:
```
Nd3Sm8Er3
1.0
-0.9515 -5.2623 8.1831
-8.5287 3.7126 -3.0066
6.7062 -6.9904 -1.3123
Er Sm Nd
3 8 3
Direct
0.5000 0.5000 0.0000 Er
0.7976 0.7976 0.0000 Er
0.2024 0.2024 0.0000 Er
0.4384 0.6592 0.7791 Sm
0.5580 0.1608 0.3972 Sm
0.8801 0.6592 0.2209 Sm
0.5616 0.3408 0.2209 Sm
0.4420 0.8392 0.6028 Sm
0.2364 0.8392 0.3972 Sm
0.7636 0.1608 0.6028 Sm
0.1199 0.3408 0.7791 Sm
0.8194 0.0000 0.8194 Nd
0.0000 0.5000 0.5000 Nd
0.1806 0.0000 0.1806 Nd
```

Results
Energy of formation in meV/atom: 101.9
DOS at the Fermi energy in states/eV/atom: 1.481
Electronic total energy in eV per atom: -4.594


20.
Compound: RbInBP2HO9
Source: Alexandria via LeMat-Bulk
Functional: PBE
Structure: relaxed

The structure in POSCAR format:
```
RbInBP2HO9
1.0
5.4109 -0.0048 0.0106
0.4768 8.5731 -0.0080
1.4320 0.3059 8.3945
O P Rb In B H
18 4 2 2 2 2
Direct
0.9694 0.1043 0.7116 O
0.5445 0.4848 0.2385 O
0.4341 0.1427 0.7114 O
0.5659 0.8573 0.2886 O
0.2459 0.9069 0.8406 O
0.9349 0.5704 0.3411 O
0.0398 0.6661 0.8236 O
0.1236 0.1685 0.9682 O
0.0306 0.8957 0.2884 O
0.8764 0.8315 0.0318 O
0.7541 0.0931 0.1594 O
0.2855 0.6962 0.0313 O
0.0651 0.4296 0.6589 O
0.2824 0.6761 0.5440 O
0.7145 0.3038 0.9687 O
0.4555 0.5152 0.7615 O
0.7176 0.3239 0.4560 O
0.9602 0.3339 0.1764 O
0.8113 0.9152 0.1940 P
0.2133 0.5664 0.6920 P
0.7867 0.4336 0.3080 P
0.1887 0.0848 0.8060 P
0.7201 0.8323 0.6197 Rb
0.2799 0.1677 0.3803 Rb
0.2855 0.6857 0.2902 In
0.7145 0.3143 0.7098 In
0.8893 0.2235 0.0660 B
0.1107 0.7765 0.9340 B
0.3925 0.6190 0.9656 H
0.6075 0.3810 0.0344 H
```

Results
DOS at the Fermi energy in states/eV/atom: 0.000
Electronic total energy in eV per atom: -6.719


21.
Compound: BiHW3
Source: Alexandria via LeMat-Bulk
Functional: PBE
Structure: relaxed

The structure in POSCAR format:
```
BiHW3
1.0
4.2081 0.0000 0.0000
0.0000 4.2081 0.0000
0.0000 0.0000 4.2081
W H Bi
3 1 1
Direct
0.0000 0.0000 0.5000 W
0.5000 0.0000 0.0000 W
0.0000 0.5000 0.0000 W
0.0000 0.0000 0.0000 H
0.5000 0.5000 0.5000 Bi
```

Results
Energy above the most stable polymorph in this dataset in meV per atom: 0.0
DOS at the Fermi energy in states/eV/atom: 1.222
Electronic total energy in eV per atom: -8.257


22.
Compound: NaTcNi
Source: Alexandria via LeMat-Bulk
Functional: PBE
Structure: relaxed

The structure in POSCAR format:
```
NaTcNi
1.0
0.3431 3.7107 2.5261
-2.5653 -3.4329 1.3794
4.0581 -2.0462 2.4546
Tc Na Ni
2 2 2
Direct
0.3333 0.6667 0.7500 Tc
0.6667 0.3333 0.2500 Tc
0.0000 0.0000 0.5000 Na
0.0000 0.0000 0.0000 Na
0.6667 0.3333 0.7500 Ni
0.3333 0.6667 0.2500 Ni
```

Results
Energy of formation in meV/atom: 872.4
Energy above the most stable polymorph in this dataset in meV per atom: 631.2
DOS at the Fermi energy in states/eV/atom: 1.439
Electronic total energy in eV per atom: -4.950


23.
Compound: HfZrSeBr2
Source: Alexandria via LeMat-Bulk
Functional: PBE
Structure: relaxed

The structure in POSCAR format:
```
HfZrSeBr2
1.0
-3.0466 -1.6667 3.9103
-2.5985 -3.0770 -3.3362
3.4013 -3.9297 0.9751
Se Br Zr Hf
1 2 1 1
Direct
0.0000 0.0000 0.5000 Se
0.5000 0.0000 0.0000 Br
0.0000 0.5000 0.0000 Br
0.0000 0.0000 0.0000 Zr
0.5000 0.5000 0.5000 Hf
```

Results
Energy above the most stable polymorph in this dataset in meV per atom: 123.2
DOS at the Fermi energy in states/eV/atom: 1.336
Formation energy without anion corrections in eV/f.u.: 0.37
Electronic total energy in eV per atom: -4.992